DFT (PBE) results for crystalline TcTeBr2 at its relaxed geometry.

Cell: 5.4831 5.4831 5.4831 Å, 128.17 128.17 76.35°
Closest atoms and distances in Å follow each position.
Element x y z (fractional)
Te (0.7500, 0.2500, 0.5000)  8 Br 3.22, 4 Tc 3.39
Tc (0.2500, 0.7500, 0.5000)  8 Br 3.22, 4 Te 3.39
Br (0.0000, 0.0000, 0.0000)  4 Tc 3.22, 4 Te 3.22, 4 Br 3.39
Br (0.5000, 0.5000, 0.0000)  4 Te 3.22, 4 Tc 3.22, 4 Br 3.39

The value obtained for the formation energy without anion corrections is 0.8971 eV per atom. As for the spin magnetization: 3.001 Bohr magnetons per cell. The calculation puts the polymorph energy (0 for the lowest one) at 0.951 eV per atom.